No. 1
BaCd2Se: optimized geometry, GGA-PBE.

raw formation energy = -0.446 eV per atom

Lattice parameters (Å, degrees): 4.058 4.058 7.279 90.00 90.00 90.00
Fractional positions:
Ba 0.000 0.000 0.000
Cd 0.500 0.500 0.299
Cd 0.500 0.500 0.701
Se 0.000 0.000 0.500

---

No. 2
Tl2AgF: optimized geometry, GGA-PBE.

ΔE to the lowest computed polymorph = 0 meV/atom
raw formation energy = -0.596 eV per atom

Lattice parameters (Å, degrees): 6.492 6.492 6.492 110.05 110.05 108.31
Fractional positions:
Tl 0.084 0.625 0.959
Tl 0.375 0.334 0.459
Tl 0.666 0.125 0.041
Tl 0.875 0.916 0.541
Ag 0.250 0.750 0.500
Ag 0.500 0.500 0.000
F 0.000 0.000 0.000
F 0.750 0.250 0.500

---

No. 3
FeW2N: optimized geometry, GGA-PBE.

ΔE to the lowest computed polymorph = 0 meV/atom
raw formation energy = 0.513 eV per atom

Lattice parameters (Å, degrees): 6.250 6.250 6.250 134.83 134.83 65.80
Fractional positions:
Fe 0.000 0.000 0.000
Fe 0.750 0.250 0.500
W 0.185 0.625 0.060
W 0.375 0.435 0.560
W 0.565 0.125 0.940
W 0.875 0.815 0.440
N 0.250 0.750 0.500
N 0.500 0.500 0.000

---

No. 4
V2GeC2: optimized geometry, GGA-PBE.

DFT formation energy = 0.41 eV/atom
ΔE to the lowest computed polymorph = 125 meV/atom

Lattice parameters (Å, degrees): 5.909 5.909 2.846 90.00 90.00 90.00
Fractional positions:
V 0.147 0.353 0.000
V 0.353 0.853 0.000
V 0.647 0.147 0.000
V 0.853 0.647 0.000
Ge 0.000 0.000 0.500
Ge 0.500 0.500 0.500
C 0.142 0.642 0.500
C 0.358 0.142 0.500
C 0.642 0.858 0.500
C 0.858 0.358 0.500

---

Number 1: final energy -2.26 eV/atom. Number 2: final energy -2.96 eV/atom. Number 3: final energy -10.16 eV/atom. Number 4: final energy -7.86 eV/atom.